1.
First-principles (PBE-GGA) data for a geometry-optimized La3SmDy6Th2 structure, as listed in the Alexandria database.

Values from the calculation:
The formation energy comes out at 2 kJ per mole of atoms. As for the density of states at the Fermi level: 1.3314 states/eV/atom.

a = 6.2596 Å, b = 6.2596 Å, c = 11.8370 Å
α = 95.07°, β = 95.07°, γ = 119.99°
Atoms (fractional coordinates):
Dy1 0.5812 0.9189 0.7565
Dy2 0.2566 0.2566 0.7565
Dy3 0.7434 0.7434 0.2435
Dy4 0.4188 0.0811 0.2435
Dy5 0.9189 0.5812 0.7565
Dy6 0.0811 0.4188 0.2435
La1 0.1659 0.8341 0.5000
La2 0.5000 0.5000 0.5000
La3 0.8341 0.1659 0.5000
Sm1 0.0000 0.0000 0.0000
Th1 0.3334 0.6666 0.0000
Th2 0.6666 0.3334 0.0000


2.
First-principles (PBE-GGA) data for a geometry-optimized Be2PSe structure, as listed in the Alexandria database.

Values from the calculation:
The raw formation energy is 0.61 eV/atom. As for the density of states at the Fermi level: 0.4670 states/eV/atom.

a = 4.2169 Å, b = 4.2169 Å, c = 4.2169 Å
α = 60.00°, β = 60.00°, γ = 60.00°
Atoms (fractional coordinates):
P1 0.0000 0.0000 0.0000
Be1 0.7500 0.7500 0.7500
Be2 0.2500 0.2500 0.2500
Se1 0.5000 0.5000 0.5000


3.
First-principles (PBE-GGA) data for a geometry-optimized Li2HfSn2 structure, as listed in the Alexandria database.

Values from the calculation:
The formation energy comes out at -22 kJ per mole of atoms. As for the density of states at the Fermi level: 0.4449 states/eV/atom.

a = 7.9042 Å, b = 7.9042 Å, c = 3.0764 Å
α = 90.00°, β = 90.00°, γ = 90.00°
Atoms (fractional coordinates):
Hf1 0.0000 0.0000 0.0000
Hf2 0.5000 0.5000 0.0000
Li1 0.6127 0.1127 0.0000
Li2 0.8873 0.6127 0.0000
Li3 0.3873 0.8873 0.0000
Li4 0.1127 0.3873 0.0000
Sn1 0.1833 0.6833 0.5000
Sn2 0.6833 0.8167 0.5000
Sn3 0.8167 0.3167 0.5000
Sn4 0.3167 0.1833 0.5000


4.
First-principles (PBE-GGA) data for a geometry-optimized TlZn2Au8 structure, as listed in the Alexandria database.

Values from the calculation:
The formation energy comes out at -7 kJ per mole of atoms. As for the density of states at the Fermi level: 0.2163 states/eV/atom.

a = 3.7005 Å, b = 7.0459 Å, c = 8.5450 Å
α = 109.39°, β = 102.51°, γ = 90.00°
Atoms (fractional coordinates):
Au1 0.1712 0.2537 0.3424
Au2 0.0511 0.7149 0.1021
Au3 0.5930 0.4425 0.1859
Au4 0.6800 0.9392 0.3599
Au5 0.4071 0.5575 0.8141
Au6 0.3200 0.0608 0.6401
Au7 0.8288 0.7463 0.6576
Au8 0.9489 0.2851 0.8979
Tl1 0.5000 0.0000 0.0000
Zn1 0.2066 0.6623 0.4131
Zn2 0.7934 0.3377 0.5869


5.
First-principles (PBE-GGA) data for a geometry-optimized AgAs2Br structure, as listed in the Alexandria database.

Values from the calculation:
The raw formation energy is 0.61 eV/atom. As for the density of states at the Fermi level: 0.7786 states/eV/atom.

a = 4.8949 Å, b = 4.8949 Å, c = 4.8949 Å
α = 60.00°, β = 60.00°, γ = 60.00°
Atoms (fractional coordinates):
Ag1 0.5000 0.5000 0.5000
As1 0.2500 0.2500 0.2500
As2 0.7500 0.7500 0.7500
Br1 0.0000 0.0000 0.0000


6.
First-principles (PBE-GGA) data for a geometry-optimized Na2Er2Tl3 structure, as listed in the Alexandria database.

Values from the calculation:
The formation energy comes out at -18 kJ per mole of atoms. As for the density of states at the Fermi level: 0.6414 states/eV/atom.

a = 3.8195 Å, b = 3.7250 Å, c = 14.6232 Å
α = 90.00°, β = 82.50°, γ = 90.00°
Atoms (fractional coordinates):
Tl1 0.1291 0.0000 0.7418
Tl2 0.8709 0.0000 0.2582
Tl3 0.0000 0.0000 0.0000
Er1 0.5657 0.5000 0.8686
Er2 0.4343 0.5000 0.1314
Na1 0.3029 0.5000 0.3941
Na2 0.6971 0.5000 0.6059